[1]
# P2SeSN, optimized geometry, DFT PBE
data_P2SeSN
_symmetry_space_group_name_H-M 'P 1'
_symmetry_Int_Tables_number 1
_cell_length_a 4.805
_cell_length_b 4.805
_cell_length_c 4.616
_cell_angle_alpha 90.00
_cell_angle_beta 90.00
_cell_angle_gamma 90.00
loop_
_symmetry_equiv_pos_as_xyz
'x,y,z'
loop_
_atom_site_label
_atom_site_fract_x
_atom_site_fract_y
_atom_site_fract_z
P1 0.000 0.500 0.000
P2 0.500 0.000 0.000
Se1 0.000 0.000 0.000
S1 0.000 0.000 0.500
N1 0.500 0.500 0.500
# Crystal system ... tetragonal
# Total DFT energy (no corrections) ... -0.1124 hartree per atom

---

[2]
# PSe2SN, optimized geometry, DFT PBE
data_PSe2SN
_symmetry_space_group_name_H-M 'P 1'
_symmetry_Int_Tables_number 1
_cell_length_a 5.022
_cell_length_b 5.022
_cell_length_c 3.365
_cell_angle_alpha 90.00
_cell_angle_beta 90.00
_cell_angle_gamma 90.00
loop_
_symmetry_equiv_pos_as_xyz
'x,y,z'
loop_
_atom_site_label
_atom_site_fract_x
_atom_site_fract_y
_atom_site_fract_z
P1 0.000 0.000 0.000
Se1 0.000 0.500 0.500
Se2 0.500 0.000 0.500
S1 0.500 0.500 0.500
N1 0.500 0.500 0.000
# Crystal system ... tetragonal
# Total DFT energy (no corrections) ... -0.1398 hartree per atom

---

[3]
# PSeSN2, optimized geometry, DFT PBE
data_PSeSN2
_symmetry_space_group_name_H-M 'P 1'
_symmetry_Int_Tables_number 1
_cell_length_a 3.596
_cell_length_b 3.596
_cell_length_c 7.469
_cell_angle_alpha 90.00
_cell_angle_beta 90.00
_cell_angle_gamma 90.00
loop_
_symmetry_equiv_pos_as_xyz
'x,y,z'
loop_
_atom_site_label
_atom_site_fract_x
_atom_site_fract_y
_atom_site_fract_z
P1 0.000 0.000 0.000
Se1 0.500 0.500 0.500
S1 0.500 0.500 0.000
N1 0.000 0.500 0.500
N2 0.500 0.000 0.500
# Crystal system ... tetragonal
# Total DFT energy (no corrections) ... -0.1552 hartree per atom

---

| no. | ΔE_f (raw) (meV per atom) | total magnetic moment (μB/cell) |
| --- | --- | --- |
| 1 | 2293.1 | 0.005 |
| 2 | 1163.2 | 0.000 |
| 3 | 1710.8 | 0.048 |